i:
# Pm2SiBi

A relaxed Pm2SiBi crystal (PBE, Alexandria via LeMat-Bulk).

Lattice parameters (Å, degrees): 4.9818 4.9818 4.3277 90.00 90.00 90.00
Last column: nearest neighbours and their distance in Å.
Atoms (fractional coordinates):
1 Pm 0.0000 0.5000 0.0000  4 Bi 3.30, 4 Si 3.30, 4 Pm 3.52
2 Pm 0.5000 0.0000 0.0000  4 Bi 3.30, 4 Si 3.30, 4 Pm 3.52
3 Si 0.0000 0.0000 0.5000  8 Pm 3.30, 4 Bi 3.52
4 Bi 0.5000 0.5000 0.5000  8 Pm 3.30, 4 Si 3.52

## Properties
**SG**: No. 123


ii:
# Pm2SiBi

A relaxed Pm2SiBi crystal (PBE, Alexandria via LeMat-Bulk).

Lattice parameters (Å, degrees): 3.5111 3.5111 8.7260 90.00 90.00 90.00
Last column: nearest neighbours and their distance in Å.
Atoms (fractional coordinates):
1 Pm 0.0000 0.0000 0.2146  4 Si 3.11
2 Pm 0.0000 0.0000 0.7854  4 Si 3.11
3 Si 0.5000 0.5000 0.0000  8 Pm 3.11
4 Bi 0.5000 0.5000 0.5000  4 Bi 3.51, 8 Pm 3.52

## Properties
**SG**: No. 123


How do the energies compare? Relative to the most stable structure, in kJ/mol of atoms: i 8.9; ii 0.0.